Material: BaAl3Zn2
Method: DFT, PBE
State: relaxed

abc: 5.8409 5.8409 4.3159
angles: 90.00 90.00 120.00
Closest atoms and distances in Å follow each position.
Element x y z (fractional)
Ba: 0.0000 0.0000 0.0000  6 Zn 3.37, 12 Al 3.63
Al: 0.0000 0.5000 0.5000  4 Zn 2.74, 4 Al 2.92
Al: 0.5000 0.0000 0.5000  4 Zn 2.74, 4 Al 2.92
Al: 0.5000 0.5000 0.5000  4 Zn 2.74, 4 Al 2.92
Zn: 0.3333 0.6667 0.0000  6 Al 2.74
Zn: 0.6667 0.3333 0.0000  6 Al 2.74

Space group ... No. 191
Electronic total energy ... -2.811 eV/atom